[1]
# TaSi2Ru PBE optimized geometry
data_TaSi2Ru
_chemical_formula_sum 'Ta3 Si6 Ru3'
_cell_length_a 2.8817
_cell_length_b 2.8817
_cell_length_c 24.4934
_cell_angle_alpha 90.00
_cell_angle_beta 90.00
_cell_angle_gamma 120.00
_space_group_name_H-M_alt 'R -3 m'
_space_group_IT_number 166
_space_group_name_Hall '-R 3 2"'
loop_
_atom_site_label
_atom_site_type_symbol
_atom_site_fract_x
_atom_site_fract_y
_atom_site_fract_z
Ta1 Ta 0.0000 0.0000 0.0000
Si1 Si 0.0000 0.0000 0.2427
Ru1 Ru 0.0000 0.0000 0.5000
# - Formation energy without anion corrections: -0.227 eV/atom

[2]
# MoPt2Se PBE optimized geometry
data_MoPt2Se
_chemical_formula_sum 'Mo1 Pt2 Se1'
_cell_length_a 2.816
_cell_length_b 2.816
_cell_length_c 8.432
_cell_angle_alpha 90.00
_cell_angle_beta 90.00
_cell_angle_gamma 90.00
_space_group_name_H-M_alt 'P 4/m m m'
_space_group_IT_number 123
_space_group_name_Hall '-P 4 2'
loop_
_atom_site_label
_atom_site_type_symbol
_atom_site_fract_x
_atom_site_fract_y
_atom_site_fract_z
Mo1 Mo 0.000 0.000 0.000
Pt1 Pt 0.500 0.500 0.225
Se1 Se 0.000 0.000 0.500
# - Formation energy without anion corrections: -0.061 eV/atom

[3]
# SrHgPb2Se4 PBE optimized geometry
data_SrHgPb2Se4
_chemical_formula_sum 'Sr4 Hg4 Pb8 Se16'
_cell_length_a 4.333
_cell_length_b 14.531
_cell_length_c 15.320
_cell_angle_alpha 90.00
_cell_angle_beta 90.00
_cell_angle_gamma 90.00
_space_group_name_H-M_alt 'C m c m'
_space_group_IT_number 63
_space_group_name_Hall '-C 2c 2'
loop_
_atom_site_label
_atom_site_type_symbol
_atom_site_fract_x
_atom_site_fract_y
_atom_site_fract_z
Sr1 Sr 0.000 0.126 0.250
Hg1 Hg 0.000 0.149 0.750
Pb1 Pb 0.000 0.370 0.052
Se1 Se 0.000 0.000 0.000
Se2 Se 0.000 0.280 0.624
Se3 Se 0.000 0.462 0.250
# - Formation energy without anion corrections: -0.763 eV/atom

[4]
# ScTlCd PBE optimized geometry
data_ScTlCd
_chemical_formula_sum 'Sc1 Tl1 Cd1'
_cell_length_a 4.8791
_cell_length_b 4.8791
_cell_length_c 3.4073
_cell_angle_alpha 90.00
_cell_angle_beta 90.00
_cell_angle_gamma 120.00
_space_group_name_H-M_alt 'P 3 m 1'
_space_group_IT_number 156
loop_
_space_group_symop_operation_xyz
'x,y,z'
'-y,x-y,z'
'-x+y,-x,z'
'-y,-x,z'
'-x+y,y,z'
'x,x-y,z'
loop_
_atom_site_label
_atom_site_type_symbol
_atom_site_fract_x
_atom_site_fract_y
_atom_site_fract_z
Sc1 Sc 0.0000 0.0000 0.0000
Tl1 Tl 0.3333 0.6667 0.3959
Cd1 Cd 0.6667 0.3333 0.5695
# - Calculated formation energy: -0.139 eV/atom

[5]
# SrLiHg PBE optimized geometry
data_SrLiHg
_chemical_formula_sum 'Sr1 Li1 Hg1'
_cell_length_a 4.8692
_cell_length_b 4.8692
_cell_length_c 4.2986
_cell_angle_alpha 90.00
_cell_angle_beta 90.00
_cell_angle_gamma 120.00
_space_group_name_H-M_alt 'P -6 m 2'
_space_group_IT_number 187
_space_group_name_Hall 'P -6 2'
loop_
_atom_site_label
_atom_site_type_symbol
_atom_site_fract_x
_atom_site_fract_y
_atom_site_fract_z
Sr1 Sr 0.0000 0.0000 0.0000
Li1 Li 0.3333 0.6667 0.5000
Hg1 Hg 0.6667 0.3333 0.5000
# - Energy above the lowest structure with this stoichiometry: 0.028 eV per atom
# - Calculated formation energy: -0.351 eV/atom

[6]
# Tc3AsOs PBE optimized geometry
data_Tc3AsOs
_chemical_formula_sum 'Tc3 As1 Os1'
_cell_length_a 4.702
_cell_length_b 4.702
_cell_length_c 4.702
_cell_angle_alpha 90.00
_cell_angle_beta 90.00
_cell_angle_gamma 90.00
_space_group_name_H-M_alt 'P m -3 m'
_space_group_IT_number 221
_space_group_name_Hall '-P 4 2 3'
loop_
_atom_site_label
_atom_site_type_symbol
_atom_site_fract_x
_atom_site_fract_y
_atom_site_fract_z
Tc1 Tc 0.000 0.000 0.500
As1 As 0.500 0.500 0.500
Os1 Os 0.000 0.000 0.000
# - Energy above the lowest structure with this stoichiometry: 0.272 eV per atom
# - Calculated formation energy: 1.770 eV/atom

[7]
# InSi3Cl PBE optimized geometry
data_InSi3Cl
_chemical_formula_sum 'In1 Si3 Cl1'
_cell_length_a 5.230
_cell_length_b 5.230
_cell_length_c 5.230
_cell_angle_alpha 90.00
_cell_angle_beta 90.00
_cell_angle_gamma 90.00
_space_group_name_H-M_alt 'P m -3 m'
_space_group_IT_number 221
_space_group_name_Hall '-P 4 2 3'
loop_
_atom_site_label
_atom_site_type_symbol
_atom_site_fract_x
_atom_site_fract_y
_atom_site_fract_z
In1 In 0.000 0.000 0.000
Si1 Si 0.000 0.000 0.500
Cl1 Cl 0.500 0.500 0.500
# - Energy above the lowest structure with this stoichiometry: 0.193 eV per atom
# - Formation energy without anion corrections: 1.232 eV/atom

[8]
# GdThFeOs PBE optimized geometry
data_GdThFeOs
_chemical_formula_sum 'Gd4 Th4 Fe4 Os4'
_cell_length_a 6.966
_cell_length_b 6.966
_cell_length_c 6.966
_cell_angle_alpha 90.00
_cell_angle_beta 90.00
_cell_angle_gamma 90.00
_space_group_name_H-M_alt 'F -4 3 m'
_space_group_IT_number 216
_space_group_name_Hall 'F -4 2 3'
loop_
_atom_site_label
_atom_site_type_symbol
_atom_site_fract_x
_atom_site_fract_y
_atom_site_fract_z
Gd1 Gd 0.000 0.000 0.000
Th1 Th 0.000 0.000 0.500
Fe1 Fe 0.250 0.250 0.250
Os1 Os 0.250 0.250 0.750
# - Calculated formation energy: -0.009 eV/atom